1.
Zr3TaOs: relaxed, PBE.

The energy above the most stable polymorph in this dataset is 726 meV/atom. The mass density is 8.66 g cm⁻³. Its calculated volume is 24.74 Å³/atom.

The space group is Pm-3m (No. 221) and the conventional cell measures 4.9825, 4.9825 and 4.9825 Å, with angles of 90.00, 90.00 and 90.00 degrees. Symmetry generates all atoms from Zr at (0.0000, 0.0000, 0.5000), Ta at (0.0000, 0.0000, 0.0000) and Os at (0.5000, 0.5000, 0.5000).

2.
ZrTaOs2: relaxed, PBE.

The mass density is 16.02 g cm⁻³. Its calculated volume is 16.92 Å³/atom.

The space group is Cmmm (No. 65) and the conventional cell measures 6.3816, 6.6984 and 3.1659 Å, with angles of 90.00, 90.00 and 90.00 degrees. Symmetry generates all atoms from Zr at (0.0000, 0.0000, 0.0000), Ta at (0.0000, 0.5000, 0.0000) and Os at (0.2500, 0.2500, 0.5000).

no.,E_form (eV/atom)
1,1.511
2,-0.363